## Mg2BeIn (GGA-PBE)

Data for Mg2BeIn after structural relaxation.

- space group = I-4m2, No. 119
- ΔE_f (meV per atom) = 250
- crystal system = tetragonal

Geometry as POSCAR:
```
Mg2BeIn
1.0
-2.125 2.125 4.264
2.125 -2.125 4.264
2.125 2.125 -4.264
Mg Be In
2 1 1
direct
0.000 0.000 0.000
0.750 0.250 0.500
0.250 0.750 0.500
0.500 0.500 0.000
```

***

## ZrReN2F (GGA-PBE)

Data for ZrReN2F after structural relaxation.

- space group = P4/mmm, No. 123
- ΔE_f (raw) (eV/atom) = -0.2300
- crystal system = tetragonal

Geometry as POSCAR:
```
ZrReN2F
1.0
3.936 0.000 0.000
0.000 3.936 0.000
0.000 0.000 4.007
Zr Re N F
1 1 2 1
direct
0.000 0.000 0.000
0.500 0.500 0.500
0.000 0.500 0.500
0.500 0.000 0.500
0.500 0.500 0.000
```

***

In the order shown, the computed ρ values come out to 3.72; 8.68 Mg/m³.
In the order shown, the computed offset from the most stable computed form values come out to 0.077; 0.000 eV/atom.